The following is a SCAN calculation of a crystal of Zn2CrAg relaxed with PBEsol, from Alexandria via LeMat-Bulk.

It has space group P4mm (No. 99), with a = 3.084 Å, b = 3.084 Å, c = 6.172 Å, α = 90.00°, β = 90.00° and γ = 90.00°. The inequivalent atoms are Zn at (0.000, 0.000, 0.000), Zn at (0.500, 0.500, 0.238), Cr at (0.500, 0.500, 0.768) and Ag at (0.000, 0.000, 0.492).

The value obtained for the theoretical density is 8.22 Mg/m³. For the formation energy, the calculation gives 96 meV per atom. For the total energy, the calculation gives -19.10 eV per atom. The value obtained for the size of the total moment is 0.967 μB per atom.

The following is a SCAN calculation of a crystal of Zn7Re relaxed with PBEsol, from Alexandria via LeMat-Bulk.

It has space group Fm-3m (No. 225), with a = 7.612 Å, b = 7.612 Å, c = 7.612 Å, α = 90.00°, β = 90.00° and γ = 90.00°. The inequivalent atoms are Zn at (0.000, 0.000, 0.000), Zn at (0.000, 0.250, 0.250) and Re at (0.000, 0.000, 0.500).

The value obtained for the theoretical density is 9.70 Mg/m³. For the formation energy, the calculation gives 27 meV per atom. For the total energy, the calculation gives -20.69 eV per atom. The value obtained for the size of the total moment is 0.000 μB per atom.

The following is a SCAN calculation of a crystal of BeAg2Ru relaxed with PBEsol, from Alexandria via LeMat-Bulk.

It has space group Cm (No. 8), with a = 9.489 Å, b = 2.672 Å, c = 4.707 Å, α = 90.00°, β = 112.55° and γ = 90.00°. The inequivalent atoms are Be at (0.000, 0.000, 0.000), Ag at (0.002, 0.500, 0.458), Ag at (0.280, 0.000, 0.685) and Ru at (0.216, 0.500, 0.130).

The value obtained for the theoretical density is 9.82 Mg/m³. For the formation energy, the calculation gives 320 meV per atom. For the total energy, the calculation gives -25.16 eV per atom. The value obtained for the size of the total moment is 0.001 μB per atom.

The following is a SCAN calculation of a crystal of Na3Co4O8 relaxed with PBEsol, from Alexandria via LeMat-Bulk.

It has space group Pmmn (No. 59, origin choice 2), with a = 2.851 Å, b = 10.716 Å, c = 9.714 Å, α = 90.00°, β = 90.00° and γ = 90.00°. The inequivalent atoms are Na at (0.250, 0.250, 0.006), Na at (0.250, 0.750, 0.353), Na at (0.250, 0.750, 0.695), Co at (0.250, 0.005, 0.376), Co at (0.250, 0.503, 0.874), O at (0.250, 0.083, 0.707), O at (0.250, 0.097, 0.207), O at (0.250, 0.587, 0.045) and O at (0.250, 0.591, 0.537).

The value obtained for the theoretical density is 4.84 Mg/m³. For the total energy, the calculation gives -10.43 eV per atom. The value obtained for the size of the total moment is 0.070 μB per atom. The value obtained for the formation energy from raw total energies is -37.93 kcal/mol of atoms.